Record 1
A plane-wave DFT calculation with PBE-GGA was carried out for a relaxed CsKP3 crystal.

## Properties
Magnetization = 2.38 Bohr magnetons per cell
N(E_F) = 4.25 states/eV/f.u.
Energy of formation = 1.440 eV per atom
Distance to the lowest polymorph of the same formula = 163 meV per atom

Geometry as extended XYZ:
```
5
Lattice="-5.5386 1.4892 0.3802 -0.1103 -1.8032 5.4567 1.5330 5.2507 1.7661" Properties=species:S:1:pos:R:3 pbc="T T T"
P -0.0551 -0.9016 2.7283
P 0.7665 2.6253 0.8830
K -2.0579 2.4684 3.8015
P -2.7693 0.7446 0.1901
Cs 0.0000 0.0000 0.0000
```


Record 2
A plane-wave DFT calculation with PBE-GGA was carried out for a relaxed NbCrSi4 crystal.

## Properties
Magnetization = 0.00 Bohr magnetons per cell
N(E_F) = 2.04 states/eV/f.u.
E_form (uncorrected) = -375 meV per atom

Geometry as extended XYZ:
```
6
Lattice="3.1776 0.0000 0.0000 -1.5888 3.9564 -1.5756 0.0000 -0.0082 6.4249" Properties=species:S:1:pos:R:3 pbc="T T T"
Cr 0.7944 1.9741 2.4246
Si -0.7944 3.2746 0.9068
Si 2.3832 0.6735 3.9425
Si -0.7944 3.2651 3.9328
Nb 0.7944 1.9782 -0.7878
Si 2.3832 0.6830 0.9165
```


Record 3
A plane-wave DFT calculation with PBE-GGA was carried out for a relaxed KSr12Ca6 crystal.

## Properties
Magnetization = 0.00 Bohr magnetons per cell
N(E_F) = 24.32 states/eV/f.u.
Energy of formation = 0.034 eV per atom

Geometry as extended XYZ:
```
19
Lattice="-8.1293 -0.7206 -6.1310 7.0807 -7.9360 -2.7908 -4.4817 -9.9363 1.4455" Properties=species:S:1:pos:R:3 pbc="T T T"
Sr -2.0247 -12.3740 -7.1317
Ca -1.0654 -6.1394 -3.6013
Sr -3.6220 -8.7767 -5.5544
Sr -2.5417 -2.6851 -2.0712
Ca -0.4393 -13.2912 -3.4495
Sr -2.9887 -15.9078 -5.4051
Ca -7.6046 -7.8814 -6.0557
Ca 2.0743 -10.7115 -1.4206
Sr -3.5056 -6.2189 -0.3446
Sr 2.9508 -7.0661 -3.1740
Sr 0.5412 -9.7394 -5.1456
Sr 1.5128 -3.6048 -1.6410
K 0.0000 0.0000 0.0000
Sr -8.4811 -11.5269 -4.3023
Sr -1.9083 -9.8163 -1.9219
Ca -5.0910 -5.3017 -4.0268
Sr -7.0431 -14.9881 -5.8353
Ca -4.4650 -12.4535 -3.8750
Sr -6.0715 -8.8535 -2.3307
```


Record 4
A plane-wave DFT calculation with PBE-GGA was carried out for a relaxed Sr2Bi2Pb crystal.

## Properties
Magnetization = 0.00 Bohr magnetons per cell
N(E_F) = 2.75 states/eV/f.u.
Energy of formation = -0.632 eV per atom
Distance to the lowest polymorph of the same formula = 0 meV per atom

Geometry as extended XYZ:
```
5
Lattice="-2.6089 -2.0957 -3.4771 3.2883 -5.1090 -2.7368 -2.6800 -5.7239 2.1119" Properties=species:S:1:pos:R:3 pbc="T T T"
Pb 0.0000 0.0000 0.0000
Sr -1.6113 -9.3953 -3.1749
Bi -2.2335 -6.5913 -1.0492
Bi 0.2329 -6.3372 -3.0529
Sr -0.3893 -3.5333 -0.9272
```